No. 1
PBE LaWAu, optimized geometry; energy of formation from the pure elements = 2.5 eV/f.u.; space group = F-43m, No. 216; density of states at the Fermi level = 4.276 states/eV per cell; relative energy among the computed polymorphs = 483 meV/atom
1.0
4.685 0.000 0.000
2.343 4.058 0.000
2.343 1.353 3.826
Au La W
1 1 1
Direct
0.000 0.000 0.000
0.500 0.500 0.500
0.750 0.750 0.750

---

No. 2
PBE AgBPd2Pt, optimized geometry; energy of formation from the pure elements = -0.8 eV/f.u.; space group = P4/mmm, No. 123; density of states at the Fermi level = 1.054 states/eV per cell
1.0
-3.151 -2.593 1.111
2.619 -3.308 -0.290
1.029 0.464 4.002
B Pd Ag Pt
1 2 1 1
Direct
0.000 0.000 0.000
0.000 0.500 0.000
0.500 0.000 0.000
0.500 0.500 0.500
0.000 0.000 0.500

---

No. 3
PBE AuSeBr2, optimized geometry; space group = Cmm2, No. 35; density of states at the Fermi level = 3.488 states/eV per cell; relative energy among the computed polymorphs = 98 meV/atom; formation energy from raw total energies = 53 meV per atom
1.0
4.234 -0.026 0.000
-2.643 3.308 0.000
0.000 0.000 9.026
Au Br Se
1 2 1
Direct
0.500 0.500 0.729
0.000 0.000 0.930
0.500 0.500 0.301
0.000 0.000 0.539